## CaTb2Mg4 (PBE-GGA)

Data for crystalline CaTb2Mg4 at its relaxed geometry.

Results
- space group = I4/mmm
- uncorrected energy (eV/atom) = -2.407
- formation energy from the elements (meV per atom) = 113
- M_tot (μB per formula unit) = 0.00

```
7
Lattice="-4.3284 -4.8225 1.3894 1.1102 -0.3827 -6.5225 5.1921 -1.0174 3.9912" Properties=species:S:1:pos:R:3 pbc="T T T"
Ca 0.0000 0.0000 0.0000
Tb -1.6091 -2.6026 -2.5666
Tb 0.4318 -2.9200 2.6903
Mg -2.1642 -2.4113 0.6947
Mg 0.9869 -3.1113 -0.5710
Mg 2.5960 -0.5087 1.9956
Mg 0.5551 -0.1914 -3.2613
```